# K2In4Co

Crystalline K2In4Co at its relaxed geometry (PBE, Alexandria).

Summary:
**Calculated volume**: 236 Å³/cell
**DOS(E_F)**: 4.69 states/eV/cell
**DFT formation energy**: 0.05 eV/f.u.
**Symmetry**: I4/mmm
**VASP energy**: -2.886 eV/atom

a b c (Å): 10.051 10.051 10.051
angles (deg): 151.14 151.14 41.27
Atoms (fractional coordinates):
K 0.171 0.171 0.000
K 0.829 0.829 0.000
In 0.000 0.500 0.500
In 0.368 0.368 0.000
In 0.500 0.000 0.500
In 0.632 0.632 0.000
Co 0.500 0.500 0.000